NaEr2Pu3Se6: optimized geometry, PBE.

Geometry as POSCAR:
```
NaEr2Pu3Se6
1.0
8.978 -2.055 0.000
8.978 2.055 0.000
-1.818 0.000 8.058
Na Er Pu Se
1 2 3 6
Cartesian
0.000 0.000 0.000 Na
4.778 0.000 5.347 Er
11.360 0.000 2.711 Er
-0.909 0.000 4.029 Pu
5.718 0.000 1.325 Pu
10.420 0.000 6.734 Pu
2.844 0.000 0.745 Se
1.973 0.000 4.683 Se
7.543 0.000 6.021 Se
8.595 0.000 2.037 Se
14.165 0.000 3.375 Se
13.294 0.000 7.313 Se
```

Density   8.7 g/cm3
Total magnetization   5.97 Bohr magnetons per cell
Total energy   -7.763 eV/atom
Formation energy from raw total energies   -1815 kJ/mol of formula units

Cd2SnB: optimized geometry, PBE.

Geometry as POSCAR:
```
Cd2SnB
1.0
0.000 3.475 3.475
3.475 0.000 3.475
3.475 3.475 0.000
Cd Sn B
2 1 1
Cartesian
1.737 1.737 1.737 Cd
5.212 5.212 5.212 Cd
0.000 0.000 0.000 Sn
3.475 3.475 3.475 B
```

Density   7.0 g/cm3
Total magnetization   0.00 Bohr magnetons per cell
ΔE to the lowest computed polymorph   172 meV per atom
Total energy   -2.179 eV/atom
ΔH_f (0 K)   0.9484 eV per atom

TeWBr2: optimized geometry, PBE.

Geometry as POSCAR:
```
TeWBr2
1.0
-1.637 2.578 6.791
1.637 -2.578 6.791
1.637 2.578 -6.791
Te W Br
1 1 2
Cartesian
0.000 0.000 0.000 Te
1.637 0.000 2.105 W
0.000 0.000 4.237 Br
0.000 2.578 2.138 Br
```

Density   6.8 g/cm3
Total magnetization   0.79 Bohr magnetons per cell
ΔE to the lowest computed polymorph   423 meV per atom
Total energy   -4.491 eV/atom
Formation energy from raw total energies   142 kJ/mol of formula units

Tm2TlOs: optimized geometry, PBE.

Geometry as POSCAR:
```
Tm2TlOs
1.0
4.958 0.000 0.000
0.000 4.958 0.000
0.000 0.000 3.595
Tm Tl Os
2 1 1
Cartesian
0.000 2.479 0.000 Tm
2.479 0.000 0.000 Tm
0.000 0.000 1.797 Tl
2.479 2.479 1.797 Os
```

Density   13.8 g/cm3
Total magnetization   0.00 Bohr magnetons per cell
ΔE to the lowest computed polymorph   13 meV per atom
Total energy   -5.804 eV/atom
ΔH_f (0 K)   -0.1696 eV per atom

RbNa8In4: optimized geometry, PBE.

Geometry as POSCAR:
```
RbNa8In4
1.0
-5.728 5.728 3.280
5.728 -5.728 3.280
5.728 5.728 -3.280
Rb Na In
1 8 4
Cartesian
0.000 0.000 0.000 Rb
3.880 0.000 0.000 Na
7.577 0.000 0.000 Na
5.728 3.132 0.000 Na
0.000 3.880 0.000 Na
3.132 5.728 0.000 Na
2.596 0.000 3.280 Na
0.000 7.577 0.000 Na
0.000 2.596 3.280 Na
2.864 2.864 -1.640 In
2.864 -2.864 1.640 In
-2.864 2.864 1.640 In
2.864 2.864 1.640 In
```

Density   2.8 g/cm3
Total magnetization   0.00 Bohr magnetons per cell
Total energy   -1.801 eV/atom
ΔH_f (0 K)   -0.0724 eV per atom

Ni5Cl6: optimized geometry, PBE.

Geometry as POSCAR:
```
Ni5Cl6
1.0
3.226 -5.199 0.000
3.226 5.199 0.000
-2.325 0.000 5.895
Ni Cl
5 6
Cartesian
0.000 0.000 0.000 Ni
2.063 3.313 2.948 Ni
3.226 1.739 0.000 Ni
3.226 -1.739 0.000 Ni
2.063 -3.313 2.948 Ni
0.672 1.831 1.533 Cl
-0.208 0.000 4.735 Cl
0.672 -1.831 1.533 Cl
3.454 1.831 4.362 Cl
4.334 0.000 1.161 Cl
3.454 -1.831 4.362 Cl
```

Density   4.3 g/cm3
Total magnetization   6.00 Bohr magnetons per cell
Total energy   -3.797 eV/atom
Formation energy from raw total energies   -172 kJ/mol of formula units

Tb2SnGe: optimized geometry, PBE.

Geometry as POSCAR:
```
Tb2SnGe
1.0
2.011 1.161 7.955
-2.011 1.161 7.955
0.000 -2.322 7.955
Tb Sn Ge
2 1 1
Cartesian
0.000 0.000 5.711 Tb
0.000 0.000 18.155 Tb
0.000 0.000 0.000 Sn
0.000 0.000 11.933 Ge
```

Density   7.6 g/cm3
Total magnetization   0.00 Bohr magnetons per cell
Total energy   -5.093 eV/atom
ΔH_f (0 K)   -0.6230 eV per atom

TaTcRu2: optimized geometry, PBE.

Geometry as POSCAR:
```
TaTcRu2
1.0
0.000 3.130 3.130
3.130 0.000 3.130
3.130 3.130 0.000
Ta Tc Ru
1 1 2
Cartesian
0.000 0.000 0.000 Ta
1.565 1.565 1.565 Tc
3.130 3.130 3.130 Ru
4.695 4.695 4.695 Ru
```

Density   13.0 g/cm3
Total magnetization   1.76 Bohr magnetons per cell
ΔE to the lowest computed polymorph   230 meV per atom
Total energy   -10.088 eV/atom
ΔH_f (0 K)   0.1045 eV per atom